i) Entry from the Alexandria database: a crystal of Cu2HgAu2 relaxed with PBEsol (SCAN).

a = 2.9124 Å, b = 7.4093 Å, c = 7.4093 Å
α = 90.00°, β = 90.00°, γ = 90.00°
With the nearest neighbours (Å) after each atom.
Element x y z (fractional)
Au  0.0000  0.3642  0.8642  6 Cu 2.58-2.64, 1 Au 2.85, 2 Hg 2.88
Au  0.0000  0.8642  0.6358  6 Cu 2.58-2.64, 1 Au 2.85, 2 Hg 2.88
Au  0.0000  0.6358  0.1358  6 Cu 2.58-2.64, 1 Au 2.85, 2 Hg 2.88
Au  0.0000  0.1358  0.3642  6 Cu 2.58-2.64, 1 Au 2.85, 2 Hg 2.88
Hg  0.0000  0.0000  0.0000  4 Au 2.88, 2 Hg 2.91, 8 Cu 3.14
Hg  0.0000  0.5000  0.5000  4 Au 2.88, 2 Hg 2.91, 8 Cu 3.14
Cu  0.5000  0.1608  0.6608  6 Au 2.58-2.64
Cu  0.5000  0.6608  0.8392  6 Au 2.58-2.64
Cu  0.5000  0.8392  0.3392  6 Au 2.58-2.64
Cu  0.5000  0.3392  0.1608  6 Au 2.58-2.64

Output
Crystal system: tetragonal
Symmetry: P4/mbm
Magnetization in μB/f.u.: 0.00
Calculated volume in Å³ per atom: 15.989

ii) Entry from the Alexandria database: a crystal of Cu2HgAu2 relaxed with PBEsol (SCAN).

a = 3.5238 Å, b = 3.5238 Å, c = 7.1619 Å
α = 104.24°, β = 104.24°, γ = 90.00°
With the nearest neighbours (Å) after each atom.
Element x y z (fractional)
Au  0.3923  0.3923  0.7847  4 Cu 2.60, 4 Hg 2.88, 1 Au 2.89
Au  0.6077  0.6077  0.2153  4 Cu 2.60, 4 Hg 2.88, 1 Au 2.89
Hg  0.0000  0.0000  0.0000  8 Au 2.88
Cu  0.2500  0.7500  0.5000  4 Cu 2.49, 4 Au 2.60
Cu  0.7500  0.2500  0.5000  4 Cu 2.49, 4 Au 2.60

Output
Crystal system: tetragonal
Symmetry: I4/mmm
Magnetization in μB/f.u.: 0.00
Calculated volume in Å³ per atom: 16.675

Most stable: i)

i) Entry from the Alexandria database: a crystal of CuIrAu2 relaxed with PBEsol (SCAN).

a = 2.7347 Å, b = 4.7735 Å, c = 4.8764 Å
α = 99.97°, β = 90.00°, γ = 106.65°
With the nearest neighbours (Å) after each atom.
Element x y z (fractional)
Au  0.7485  0.4969  0.7469  6 Au 2.73-2.82, 3 Cu 2.74-2.78, 3 Ir 2.77-2.78
Au  0.2515  0.5031  0.2531  6 Au 2.73-2.82, 3 Cu 2.74-2.78, 3 Ir 2.77-2.78
Cu  0.0000  0.0000  0.5000  2 Cu 2.73, 6 Au 2.74-2.78, 4 Ir 2.80
Ir  0.5000  0.0000  0.0000  2 Ir 2.73, 6 Au 2.77-2.78, 4 Cu 2.80

Output
Crystal system: monoclinic
Symmetry: C2/m
Magnetization in μB/f.u.: 0.00
Calculated volume in Å³ per atom: 14.997

ii) Entry from the Alexandria database: a crystal of CuIrAu2 relaxed with PBEsol (SCAN).

a = 2.7267 Å, b = 2.7267 Å, c = 9.3571 Å
α = 90.00°, β = 90.00°, γ = 119.31°
With the nearest neighbours (Å) after each atom.
Element x y z (fractional)
Au  0.0000  0.0000  0.0051  8 Au 2.73-2.90, 2 Ir 2.82
Au  0.5000  0.5000  0.7322  2 Cu 2.62, 8 Au 2.73-2.90
Cu  0.0000  0.0000  0.4942  2 Ir 2.52, 2 Au 2.62, 6 Cu 2.73-2.75
Ir  0.5000  0.5000  0.2685  2 Cu 2.52, 6 Ir 2.73-2.75, 2 Au 2.82

Output
Crystal system: orthorhombic
Symmetry: Cmm2
Magnetization in μB/f.u.: 0.00
Calculated volume in Å³ per atom: 15.166

Most stable: ii)